(1)
Density functional theory data (GGA-PBE) for a relaxed Na2LaTa crystal.

ΔE to the lowest computed polymorph in eV/atom: 0.000
DFT formation energy in eV per atom: 0.92

a b c (Å): 4.273 4.273 25.461
angles (deg): 90.00 90.00 90.00
Space group I-42d (No. 122)
One atom of each set of equivalent atoms:
Na: 0.230 0.250 0.125
La: 0.000 0.000 0.500
Ta: 0.000 0.000 0.000

(2)
Density functional theory data (GGA-PBE) for a relaxed RbTl2O2 crystal.

Formation energy (no corrections) in eV per atom: -0.5738

a b c (Å): 8.538 11.671 6.811
angles (deg): 90.00 124.38 90.00
Space group C2/c (No. 15)
One atom of each set of equivalent atoms:
Rb: 0.000 0.090 0.250
Tl: 0.000 0.500 0.000
Tl: 0.250 0.250 0.000
O: 0.215 0.479 0.856